Record 1
Below is a geometry-optimized CrSn2Os structure, with properties calculated at the PBE level.

```
CrSn2Os
1.0
0.0000 3.2939 3.2939
3.2939 0.0000 3.2939
3.2939 3.2939 0.0000
Cr Sn Os
1 2 1
Direct
0.0000 0.0000 0.0000 Cr
0.2500 0.2500 0.2500 Sn
0.7500 0.7500 0.7500 Sn
0.5000 0.5000 0.5000 Os
```

Properties
The space-group type is No. 225. For the formation energy, the calculation gives 0.3775 eV per atom. Its theoretical density is 11.1 g cm⁻³. For the energy above the most stable polymorph in this dataset, the calculation gives 0.0 kJ/mol of atoms. The calculation puts the total energy at -27.35 eV/f.u.


Record 2
Below is a geometry-optimized CrSnOs3 structure, with properties calculated at the PBE level.

```
CrSnOs3
1.0
4.4922 0.0000 0.0000
0.0000 4.4922 0.0000
0.0000 0.0000 4.4922
Cr Sn Os
1 1 3
Direct
0.0000 0.0000 0.0000 Cr
0.5000 0.5000 0.5000 Sn
0.0000 0.0000 0.5000 Os
0.0000 0.5000 0.0000 Os
0.5000 0.0000 0.0000 Os
```

Properties
The space-group type is No. 221. For the formation energy, the calculation gives 1.5346 eV per atom. Its theoretical density is 13.6 g cm⁻³. For the energy above the most stable polymorph in this dataset, the calculation gives 0.0 kJ/mol of atoms. The calculation puts the total energy at -39.64 eV/f.u.


Record 3
Below is a geometry-optimized CrSnOs2 structure, with properties calculated at the PBE level.

```
CrSnOs2
1.0
-2.9734 2.9734 4.9788
2.9734 -2.9734 4.9788
2.9734 2.9734 -4.9788
Cr Sn Os
2 2 4
Direct
0.0000 0.0000 0.0000 Cr
0.7500 0.2500 0.5000 Cr
0.2500 0.7500 0.5000 Sn
0.5000 0.5000 0.0000 Sn
0.0769 0.6250 0.9519 Os
0.3750 0.3269 0.4519 Os
0.6731 0.1250 0.0481 Os
0.8750 0.9231 0.5481 Os
```

Properties
The space-group type is No. 122. For the formation energy, the calculation gives 1.2668 eV per atom. Its theoretical density is 10.4 g cm⁻³. The calculation puts the total energy at -31.02 eV/f.u.


Record 4
Below is a geometry-optimized CrSn3Os structure, with properties calculated at the PBE level.

```
CrSn3Os
1.0
5.1475 0.0000 0.0000
0.0000 5.1475 0.0000
0.0000 0.0000 5.1475
Cr Sn Os
1 3 1
Direct
0.0000 0.0000 0.0000 Cr
0.0000 0.5000 0.5000 Sn
0.5000 0.0000 0.5000 Sn
0.5000 0.5000 0.0000 Sn
0.5000 0.5000 0.5000 Os
```

Properties
The space-group type is No. 221. For the formation energy, the calculation gives 0.7252 eV per atom. Its theoretical density is 7.3 g cm⁻³. For the energy above the most stable polymorph in this dataset, the calculation gives 0.0 kJ/mol of atoms. The calculation puts the total energy at -29.24 eV/f.u.